Computed, not measured: an optimized crystal structure of YEr2Zn2Ge2 at the PBE-GGA level of DFT.

Cell lengths 11.248, 11.248, 11.248 Å; angles 21.08, 21.08, 21.08 degrees
Fractional coordinates of all 7 atoms:
Y 0.000 0.000 0.000
Er 0.124 0.124 0.124
Er 0.876 0.876 0.876
Zn 0.390 0.390 0.390
Zn 0.610 0.610 0.610
Ge 0.263 0.263 0.263
Ge 0.737 0.737 0.737

## Properties
- Total magnetization: 0.00 μB per formula unit
- Crystal system: trigonal
- E_tot: -4.350 eV per atom

=====

Computed, not measured: an optimized crystal structure of ErZnGe at the PBE-GGA level of DFT.

Cell lengths 3.425, 3.425, 10.402 Å; angles 90.00, 90.00, 90.00 degrees
Fractional coordinates of all 6 atoms:
Er 0.000 0.000 0.000
Er 0.500 0.500 0.500
Zn 0.000 0.000 0.317
Zn 0.500 0.500 0.817
Ge 0.000 0.000 0.692
Ge 0.500 0.500 0.192

## Properties
- Total magnetization: 0.00 μB per formula unit
- Crystal system: tetragonal
- E_tot: -3.762 eV per atom

=====

Computed, not measured: an optimized crystal structure of ErZnGe at the PBE-GGA level of DFT.

Cell lengths 4.214, 4.214, 15.527 Å; angles 90.00, 90.00, 120.00 degrees
Fractional coordinates of all 12 atoms:
Er 0.000 0.000 0.000
Er 0.000 0.000 0.250
Er 0.000 0.000 0.500
Er 0.000 0.000 0.750
Zn 0.333 0.667 0.148
Zn 0.333 0.667 0.352
Zn 0.667 0.333 0.648
Zn 0.667 0.333 0.852
Ge 0.333 0.667 0.613
Ge 0.333 0.667 0.887
Ge 0.667 0.333 0.113
Ge 0.667 0.333 0.387

## Properties
- Total magnetization: 0.00 μB per formula unit
- Crystal system: hexagonal
- E_tot: -4.128 eV per atom

=====

Computed, not measured: an optimized crystal structure of Er4Zn5Ge6 at the PBE-GGA level of DFT.

Cell lengths 9.487, 9.487, 15.197 Å; angles 90.00, 90.00, 154.23 degrees
Fractional coordinates of all 30 atoms:
Er 0.019 0.981 0.500
Er 0.033 0.967 0.765
Er 0.168 0.832 0.303
Er 0.175 0.825 0.945
Er 0.825 0.175 0.445
Er 0.832 0.168 0.803
Er 0.967 0.033 0.265
Er 0.981 0.019 0.000
Zn 0.151 0.849 0.627
Zn 0.301 0.699 0.625
Zn 0.345 0.655 0.276
Zn 0.349 0.651 0.983
Zn 0.435 0.565 0.687
Zn 0.565 0.435 0.187
Zn 0.651 0.349 0.483
Zn 0.655 0.345 0.776
Zn 0.699 0.301 0.125
Zn 0.849 0.151 0.127
Ge 0.113 0.887 0.118
Ge 0.223 0.777 0.485
Ge 0.228 0.772 0.766
Ge 0.431 0.569 0.410
Ge 0.433 0.567 0.131
Ge 0.440 0.560 0.856
Ge 0.560 0.440 0.356
Ge 0.567 0.433 0.631
Ge 0.569 0.431 0.910
Ge 0.772 0.228 0.266
Ge 0.777 0.223 0.985
Ge 0.887 0.113 0.618

## Properties
- Total magnetization: 0.00 μB per formula unit
- Crystal system: orthorhombic
- E_tot: -4.020 eV per atom

=====

Computed, not measured: an optimized crystal structure of Er2Zn5Ge at the PBE-GGA level of DFT.

Cell lengths 8.163, 8.163, 8.806 Å; angles 90.00, 90.00, 149.86 degrees
Fractional coordinates of all 16 atoms:
Er 0.000 0.000 0.000
Er 0.000 0.000 0.500
Er 0.198 0.802 0.750
Er 0.802 0.198 0.250
Zn 0.189 0.811 0.107
Zn 0.189 0.811 0.393
Zn 0.350 0.650 0.025
Zn 0.350 0.650 0.475
Zn 0.396 0.604 0.750
Zn 0.604 0.396 0.250
Zn 0.650 0.350 0.525
Zn 0.650 0.350 0.975
Zn 0.811 0.189 0.607
Zn 0.811 0.189 0.893
Ge 0.448 0.552 0.250
Ge 0.552 0.448 0.750

## Properties
- Total magnetization: 0.00 μB per formula unit
- Crystal system: orthorhombic
- E_tot: -2.949 eV per atom

=====

Computed, not measured: an optimized crystal structure of ErZn3Ge3 at the PBE-GGA level of DFT.

Cell lengths 6.832, 6.832, 6.832 Å; angles 90.00, 90.00, 90.00 degrees
Fractional coordinates of all 14 atoms:
Er 0.000 0.000 0.000
Er 0.500 0.500 0.500
Zn 0.000 0.250 0.500
Zn 0.000 0.750 0.500
Zn 0.250 0.500 0.000
Zn 0.500 0.000 0.250
Zn 0.500 0.000 0.750
Zn 0.750 0.500 0.000
Ge 0.000 0.500 0.250
Ge 0.000 0.500 0.750
Ge 0.250 0.000 0.500
Ge 0.500 0.250 0.000
Ge 0.500 0.750 0.000
Ge 0.750 0.000 0.500

## Properties
- Total magnetization: 0.00 μB per formula unit
- Crystal system: cubic
- E_tot: -2.912 eV per atom

=====

Computed, not measured: an optimized crystal structure of Er2ZnGe at the PBE-GGA level of DFT.

Cell lengths 4.075, 4.162, 10.742 Å; angles 90.00, 90.00, 90.00 degrees
Fractional coordinates of all 8 atoms:
Er 0.000 0.000 0.000
Er 0.000 0.500 0.500
Er 0.500 0.000 0.282
Er 0.500 0.500 0.782
Zn 0.000 0.000 0.717
Zn 0.000 0.500 0.217
Ge 0.500 0.000 0.563
Ge 0.500 0.500 0.063

## Properties
- Total magnetization: 0.00 μB per formula unit
- Crystal system: orthorhombic
- E_tot: -4.376 eV per atom

=====

Computed, not measured: an optimized crystal structure of Er2Zn16Ge at the PBE-GGA level of DFT.

Cell lengths 6.784, 6.784, 6.784 Å; angles 83.92, 83.92, 83.92 degrees
Fractional coordinates of all 19 atoms:
Er 0.000 0.000 0.000
Er 0.332 0.332 0.332
Zn 0.018 0.018 0.497
Zn 0.018 0.497 0.018
Zn 0.177 0.661 0.661
Zn 0.318 0.318 0.834
Zn 0.318 0.834 0.318
Zn 0.356 0.667 0.977
Zn 0.356 0.977 0.667
Zn 0.497 0.018 0.018
Zn 0.571 0.571 0.571
Zn 0.661 0.177 0.661
Zn 0.661 0.661 0.177
Zn 0.667 0.356 0.977
Zn 0.667 0.977 0.356
Zn 0.834 0.318 0.318
Zn 0.977 0.356 0.667
Zn 0.977 0.667 0.356
Ge 0.770 0.770 0.770

## Properties
- Total magnetization: 0.00 μB per formula unit
- Crystal system: trigonal
- E_tot: -1.996 eV per atom

=====

Computed, not measured: an optimized crystal structure of ErZn2Ge at the PBE-GGA level of DFT.

Cell lengths 3.130, 3.130, 30.460 Å; angles 90.00, 90.00, 120.00 degrees
Fractional coordinates of all 12 atoms:
Er 0.000 0.000 0.000
Er 0.333 0.667 0.667
Er 0.667 0.333 0.333
Zn 0.000 0.000 0.096
Zn 0.000 0.000 0.904
Zn 0.333 0.667 0.570
Zn 0.333 0.667 0.763
Zn 0.667 0.333 0.237
Zn 0.667 0.333 0.430
Ge 0.000 0.000 0.500
Ge 0.333 0.667 0.167
Ge 0.667 0.333 0.833

## Properties
- Total magnetization: 0.00 μB per formula unit
- ΔE to the lowest computed polymorph: 2.984 eV/f.u.
- Crystal system: trigonal
- E_tot: -2.598 eV per atom

=====

Computed, not measured: an optimized crystal structure of Er3Zn9Ge2 at the PBE-GGA level of DFT.

Cell lengths 8.060, 8.060, 8.060 Å; angles 149.25, 105.84, 82.39 degrees
Fractional coordinates of all 14 atoms:
Er 0.000 0.000 0.000
Er 0.307 0.307 0.000
Er 0.693 0.693 0.000
Zn 0.031 0.658 0.373
Zn 0.125 0.854 0.271
Zn 0.284 0.658 0.627
Zn 0.418 0.146 0.271
Zn 0.500 0.000 0.500
Zn 0.582 0.854 0.729
Zn 0.716 0.342 0.373
Zn 0.875 0.146 0.729
Zn 0.969 0.342 0.627
Ge 0.300 0.500 0.800
Ge 0.700 0.500 0.200

## Properties
- Total magnetization: 0.00 μB per formula unit
- Crystal system: orthorhombic
- E_tot: -2.794 eV per atom

=====

Computed, not measured: an optimized crystal structure of Er2ZnGe at the PBE-GGA level of DFT.

Cell lengths 5.752, 4.063, 8.244 Å; angles 90.00, 108.93, 90.00 degrees
Fractional coordinates of all 8 atoms:
Er 0.211 0.250 0.429
Er 0.288 0.750 0.069
Er 0.712 0.250 0.931
Er 0.789 0.750 0.571
Zn 0.365 0.750 0.711
Zn 0.635 0.250 0.289
Ge 0.133 0.250 0.789
Ge 0.867 0.750 0.211

## Properties
- Total magnetization: 0.00 μB per formula unit
- Crystal system: monoclinic
- E_tot: -4.360 eV per atom

=====

Computed, not measured: an optimized crystal structure of Er2ZnGe at the PBE-GGA level of DFT.

Cell lengths 4.536, 4.536, 16.107 Å; angles 90.00, 90.00, 120.00 degrees
Fractional coordinates of all 12 atoms:
Er 0.000 0.000 0.247
Er 0.000 0.000 0.753
Er 0.333 0.667 0.420
Er 0.333 0.667 0.913
Er 0.667 0.333 0.087
Er 0.667 0.333 0.580
Zn 0.000 0.000 0.000
Zn 0.333 0.667 0.667
Zn 0.667 0.333 0.333
Ge 0.000 0.000 0.500
Ge 0.333 0.667 0.167
Ge 0.667 0.333 0.833

## Properties
- Total magnetization: 0.00 μB per formula unit
- Crystal system: trigonal
- E_tot: -4.205 eV per atom

=====

no.,DOS at the Fermi energy (states/eV/atom)
1,0.728
2,0.667
3,0.168
4,0.079
5,0.451
6,0.386
7,0.920
8,0.398
9,0.594
10,0.381
11,1.033
12,0.638